First-principles (PBE) data for DySiPO after structural relaxation, as listed in the Open Quantum Materials Database.

Its total DFT energy (no corrections) is -6.612 eV/atom. The spin magnetization comes out at 0.00 μB/cell.

abc: 3.639 5.891 6.780
angles: 90.00 90.00 90.00
Space group Pmc2_1 (No. 26)
Asymmetric unit:
Dy1 0.000 0.244 0.000 [2 per cell]
Si1 0.500 0.370 0.593 [2 per cell]
P1 0.000 0.238 0.417 [2 per cell]
O1 0.500 0.229 0.810 [2 per cell]